[1]
Density functional theory data (SCAN) for Cu4Sn7S16 at its PBEsol-relaxed geometry.

Cell lengths 7.3333, 7.3333, 12.6226 Å; angles 73.11, 73.11, 60.00 degrees
Closest atoms and distances in Å follow each position.
Positions (direct):
S 0.1245 0.1245 0.6266  1 Cu 2.28
S 0.1283 0.6215 0.6287  3 Sn 2.54-2.58
S 0.8812 0.8812 0.8799  2 Cu 2.25-2.46
S 0.1206 0.6404 0.1183  2 Cu 2.24-2.49
S 0.6215 0.1283 0.6287  3 Sn 2.54-2.58
S 0.3727 0.3727 0.8820  1 Cu 2.40, 3 Sn 2.59
S 0.8676 0.3795 0.3734  1 Cu 2.29
S 0.6215 0.6215 0.6287  3 Sn 2.54-2.58
S 0.3795 0.3795 0.3734  1 Cu 2.29
S 0.3578 0.8812 0.8799  2 Cu 2.25-2.46
S 0.1206 0.1206 0.1183  2 Cu 2.24-2.49
S 0.8761 0.8761 0.3717  3 Sn 2.57
S 0.3795 0.8676 0.3734  1 Cu 2.29
S 0.6265 0.6265 0.1205  1 Cu 2.45, 3 Sn 2.61
S 0.8812 0.3578 0.8799  2 Cu 2.25-2.46
S 0.6404 0.1206 0.1183  2 Cu 2.24-2.49
Cu 0.3055 0.3055 0.0835  4 S 2.24-2.40
Cu 0.6953 0.6953 0.9141  4 S 2.25-2.45
Cu 0.1884 0.1884 0.4347  4 S 2.28-2.29
Cu 0.0006 0.0006 0.9981  6 S 2.46-2.49
Sn 0.2489 0.7470 0.7551  6 S 2.55-2.62
Sn 0.2489 0.2489 0.7551  6 S 2.55-2.62
Sn 0.7557 0.2452 0.2433  6 S 2.54-2.62
Sn 0.4974 0.4974 0.5077  6 S 2.54-2.61
Sn 0.7470 0.2489 0.7551  6 S 2.55-2.62
Sn 0.7557 0.7557 0.2433  6 S 2.54-2.62
Sn 0.2452 0.7557 0.2433  6 S 2.54-2.62

Output
Uncorrected energy: -17.660 eV/atom


[2]
Density functional theory data (SCAN) for Cu6SnWS8 at its PBEsol-relaxed geometry.

Cell lengths 5.1878, 7.4936, 7.4936 Å; angles 90.00, 90.00, 90.00 degrees
Closest atoms and distances in Å follow each position.
Positions (direct):
Cu 0.0064 0.0000 0.5000  4 S 2.24-2.28
Cu 0.5000 0.7485 0.2515  4 S 2.24-2.28
Cu 0.5000 0.2515 0.2515  4 S 2.24-2.28
Cu 0.5000 0.2515 0.7485  4 S 2.24-2.28
Cu 0.9936 0.5000 0.0000  4 S 2.24-2.28
Cu 0.5000 0.7485 0.7485  4 S 2.24-2.28
S 0.2465 0.2542 0.5000  1 W 2.24, 3 Cu 2.28
S 0.2465 0.7458 0.5000  1 W 2.24, 3 Cu 2.28
S 0.2660 0.2676 0.0000  3 Cu 2.24, 1 Sn 2.43
S 0.7340 0.0000 0.7324  3 Cu 2.24, 1 Sn 2.43
S 0.7535 0.5000 0.2542  1 W 2.24, 3 Cu 2.28
S 0.7340 0.0000 0.2676  3 Cu 2.24, 1 Sn 2.43
S 0.2660 0.7324 0.0000  3 Cu 2.24, 1 Sn 2.43
S 0.7535 0.5000 0.7458  1 W 2.24, 3 Cu 2.28
Sn 0.0000 0.0000 0.0000  4 S 2.43
W 0.0000 0.5000 0.5000  4 S 2.24

Output
Uncorrected energy: -17.516 eV/atom


[3]
Density functional theory data (SCAN) for SrCuS2 at its PBEsol-relaxed geometry.

Cell lengths 4.7416, 4.7416, 4.7416 Å; angles 60.00, 60.00, 60.00 degrees
Closest atoms and distances in Å follow each position.
Positions (direct):
Sr 0.5000 0.5000 0.5000  8 S 2.90
S 0.7500 0.7500 0.7500  4 Sr 2.90, 4 Cu 2.90
S 0.2500 0.2500 0.2500  4 Sr 2.90, 4 Cu 2.90
Cu 0.0000 0.0000 0.0000  8 S 2.90

Output
Uncorrected energy: -14.853 eV/atom


[4]
Density functional theory data (SCAN) for Sr2UCu2S5 at its PBEsol-relaxed geometry.

Cell lengths 3.9004, 6.7320, 8.7516 Å; angles 71.17, 77.12, 73.16 degrees
Closest atoms and distances in Å follow each position.
Positions (direct):
Sr 0.8277 0.6402 0.7043  7 S 2.92-3.23
Sr 0.1723 0.3598 0.2957  7 S 2.92-3.23
S 0.5000 0.5000 0.5000  2 Cu 2.28
S 0.3831 0.3025 0.9314  1 Cu 2.31
S 0.8440 0.0028 0.3092  2 Cu 2.30
S 0.6169 0.6975 0.0686  1 Cu 2.31
S 0.1560 0.9972 0.6908  2 Cu 2.30
Cu 0.4410 0.8186 0.2993  4 S 2.28-2.31
Cu 0.5590 0.1814 0.7007  4 S 2.28-2.31
U 0.0000 0.0000 0.0000  6 S 2.64-2.70

Output
Uncorrected energy: -24.216 eV/atom